# 1
FeCuP2, optimized geometry, DFT PBE; D(E_F) = 3.75 states/eV/f.u.; energy = -5.339 eV/atom; space-group type = F-43m; energy of formation from the pure elements = 0.51 eV/atom
1.0
-0.636 2.645 3.191
-3.530 -0.240 2.251
0.122 -1.409 3.947
Cu Fe P
1 1 2
Direct
0.500 0.500 0.500 Cu
0.250 0.250 0.250 Fe
0.000 0.000 0.000 P
0.750 0.750 0.750 P

---

# 2
La3CuAu, optimized geometry, DFT PBE; D(E_F) = 5.60 states/eV/f.u.; excess energy over the best structure of this formula in the dataset = 0.000 eV/atom; energy = -4.787 eV/atom; space-group type = Cmcm; energy of formation from the pure elements = -0.36 eV/atom
1.0
5.180 0.000 1.184
0.000 5.326 0.000
0.370 0.000 10.307
Au La Cu
2 6 2
Direct
0.666 0.750 0.317 Au
0.982 0.250 0.683 Au
0.257 0.750 0.133 La
0.893 0.750 0.862 La
0.755 0.250 0.138 La
0.391 0.250 0.867 La
0.075 0.750 0.498 La
0.573 0.250 0.502 La
0.478 0.750 0.692 Cu
0.170 0.250 0.308 Cu

---

# 3
RbCu2AgCl6, optimized geometry, DFT PBE; energy relative to the elements, uncorrected = -0.74 eV per atom; D(E_F) = 10.97 states/eV/f.u.; energy = -3.052 eV/atom; space-group type = R-3
1.0
-0.429 6.455 -2.432
0.750 1.201 -6.764
-7.069 1.720 -4.009
Cl Cu Ag Rb
6 2 1 1
Direct
0.714 0.099 0.714 Cl
0.473 0.714 0.714 Cl
0.286 0.901 0.286 Cl
0.901 0.527 0.286 Cl
0.099 0.473 0.714 Cl
0.527 0.286 0.286 Cl
0.768 0.768 0.697 Cu
0.232 0.232 0.303 Cu
0.500 0.500 0.500 Ag
0.000 0.000 0.000 Rb

---

# 4
LaBePb3, optimized geometry, DFT PBE; D(E_F) = 6.36 states/eV/f.u.; excess energy over the best structure of this formula in the dataset = 1.122 eV/atom; energy = -2.785 eV/atom; space-group type = Pm-3m; energy of formation from the pure elements = 1.17 eV/atom
1.0
-5.704 -2.386 0.111
0.486 -1.441 -5.994
2.339 -5.520 1.517
Pb Be La
3 1 1
Direct
0.000 0.500 0.000 Pb
0.000 0.000 0.500 Pb
0.500 0.000 0.000 Pb
0.500 0.500 0.500 Be
0.000 0.000 0.000 La